First-principles (PBE-GGA) data for a relaxed structure of Al4Ag, as listed in Alexandria via LeMat-Bulk.

a = 5.139 Å, b = 5.139 Å, c = 5.139 Å
α = 109.47°, β = 109.47°, γ = 109.47°
Element x y z (fractional)
1 Al 0.500 0.000 0.000
2 Al 0.500 0.500 0.500
3 Al 0.000 0.500 0.000
4 Al 0.000 0.000 0.500
5 Ag 0.000 0.000 0.000

Values from the calculation:
crystal system = cubic
SG = Im-3m (229)
formation energy from the elements = 1.745 eV/f.u.
density of states at the Fermi level = 3.35 states/eV/f.u.
energy above the most stable polymorph in this dataset = 8.262 kcal/mol of atoms



First-principles (PBE-GGA) data for a relaxed structure of Li4PuPd2, as listed in Alexandria via LeMat-Bulk.

a = 4.049 Å, b = 3.816 Å, c = 8.600 Å
α = 102.82°, β = 90.00°, γ = 90.00°
Element x y z (fractional)
1 Li 0.500 0.814 0.629
2 Li 0.000 0.675 0.350
3 Li 0.500 0.186 0.371
4 Li 0.000 0.325 0.650
5 Pu 0.000 0.000 0.000
6 Pd 0.500 0.580 0.160
7 Pd 0.500 0.420 0.840

Values from the calculation:
crystal system = orthorhombic
SG = Cmmm (65)
formation energy from the elements = -1.730 eV/f.u.
density of states at the Fermi level = 16.36 states/eV/f.u.



First-principles (PBE-GGA) data for a relaxed structure of Pm5NdGa4, as listed in Alexandria via LeMat-Bulk.

a = 3.641 Å, b = 3.641 Å, c = 20.260 Å
α = 90.00°, β = 90.00°, γ = 90.00°
Element x y z (fractional)
1 Pm 0.500 0.500 0.133
2 Pm 0.500 0.500 0.316
3 Pm 0.500 0.500 0.500
4 Pm 0.500 0.500 0.684
5 Pm 0.500 0.500 0.867
6 Nd 0.000 0.000 0.000
7 Ga 0.000 0.000 0.222
8 Ga 0.000 0.000 0.408
9 Ga 0.000 0.000 0.592
10 Ga 0.000 0.000 0.778

Values from the calculation:
crystal system = tetragonal
SG = P4/mmm (123)
formation energy from the elements = -4.373 eV/f.u.
density of states at the Fermi level = 8.49 states/eV/f.u.



First-principles (PBE-GGA) data for a relaxed structure of La3AlCd, as listed in Alexandria via LeMat-Bulk.

a = 5.791 Å, b = 5.791 Å, c = 5.791 Å
α = 90.00°, β = 90.00°, γ = 90.00°
Element x y z (fractional)
1 Cd 0.500 0.500 0.500
2 Al 0.000 0.000 0.000
3 La 0.000 0.500 0.000
4 La 0.000 0.000 0.500
5 La 0.500 0.000 0.000

Values from the calculation:
crystal system = cubic
SG = Pm-3m (221)
formation energy from the elements = 1.051 eV/f.u.
density of states at the Fermi level = 10.01 states/eV/f.u.
energy above the most stable polymorph in this dataset = 10.741 kcal/mol of atoms



First-principles (PBE-GGA) data for a relaxed structure of Dy5MgZn4, as listed in Alexandria via LeMat-Bulk.

a = 3.571 Å, b = 3.571 Å, c = 18.544 Å
α = 90.00°, β = 90.00°, γ = 90.00°
Element x y z (fractional)
1 Dy 0.500 0.500 0.119
2 Dy 0.500 0.500 0.309
3 Dy 0.500 0.500 0.500
4 Dy 0.500 0.500 0.691
5 Dy 0.500 0.500 0.881
6 Mg 0.000 0.000 0.000
7 Zn 0.000 0.000 0.210
8 Zn 0.000 0.000 0.404
9 Zn 0.000 0.000 0.596
10 Zn 0.000 0.000 0.790

Values from the calculation:
crystal system = tetragonal
SG = P4/mmm (123)
formation energy from the elements = -2.900 eV/f.u.
density of states at the Fermi level = 11.11 states/eV/f.u.



First-principles (PBE-GGA) data for a relaxed structure of HfRu3S, as listed in Alexandria via LeMat-Bulk.

a = 4.343 Å, b = 4.343 Å, c = 4.343 Å
α = 90.00°, β = 90.00°, γ = 90.00°
Element x y z (fractional)
1 Ru 0.000 0.500 0.000
2 Ru 0.000 0.000 0.500
3 Ru 0.500 0.000 0.000
4 S 0.000 0.000 0.000
5 Hf 0.500 0.500 0.500

Values from the calculation:
crystal system = cubic
SG = Pm-3m (221)
formation energy from raw total energies = 0.02 eV/atom
density of states at the Fermi level = 3.29 states/eV/f.u.
energy above the most stable polymorph in this dataset = 0.000 kcal/mol of atoms